Below is an optimized crystal structure of Li2PN, with properties calculated at the PBEsol level.

The space group is Fm-3m (No. 225) and the conventional cell measures 5.530, 5.530 and 5.530 Å, with angles of 90.00, 90.00 and 90.00 degrees. The asymmetric unit holds Li at (0.250, 0.250, 0.250), P at (0.000, 0.000, 0.000) and N at (0.000, 0.000, 0.500).

The calculation puts the final energy at -16.685 eV/f.u.